Entry from the Alexandria database: crystalline ErBeCo2H8 at its relaxed geometry (PBE).

Output
- Spin magnetization: 0.00 μB per cell
- Total energy: -0.1502 Ha/atom
- Symmetry: P-3m1
- DOS at the Fermi energy: 2.84 states/eV/f.u.

a = 4.4169 Å, b = 4.4169 Å, c = 5.6683 Å
α = 90.00°, β = 90.00°, γ = 120.00°
Fractional positions:
1 Er 0.0000 0.0000 0.0000
2 Be 0.0000 0.0000 0.5000
3 Co 0.3333 0.6667 0.3672
4 Co 0.6667 0.3333 0.6328
5 H 0.1423 0.2845 0.3152
6 H 0.1423 0.8577 0.3152
7 H 0.2845 0.1423 0.6848
8 H 0.3333 0.6667 0.0917
9 H 0.6667 0.3333 0.9083
10 H 0.7155 0.8577 0.3152
11 H 0.8577 0.1423 0.6848
12 H 0.8577 0.7155 0.6848